1.
# MgAs (PBE, relaxed)
# - E above lowest polymorph: 0.4235 eV per atom
# - VASP energy: -0.2290 Ry per atom
# - Magnetization: 0.00 Bohr magnetons per cell
# - Calculated formation energy: 6 meV per atom
data_MgAs
_space_group_name_H-M_alt 'P 4/n m m'
_space_group_IT_number 129
_cell_length_a 2.962
_cell_length_b 2.962
_cell_length_c 9.742
_cell_angle_alpha 90.00
_cell_angle_beta 90.00
_cell_angle_gamma 90.00
loop_
_space_group_symop_operation_xyz
'x,y,z'
'-x,-y,-z'
'-y+1/2,x,z'
'y+1/2,-x,-z'
'-x+1/2,-y+1/2,z'
'x+1/2,y+1/2,-z'
'y,-x+1/2,z'
'-y,x+1/2,-z'
'x+1/2,-y,-z'
'-x+1/2,y,z'
'-y,-x,-z'
'y,x,z'
'-x,y+1/2,-z'
'x,-y+1/2,z'
'y+1/2,x+1/2,-z'
'-y+1/2,-x+1/2,z'
loop_
_atom_site_label
_atom_site_type_symbol
_atom_site_fract_x
_atom_site_fract_y
_atom_site_fract_z
Mg1 Mg 0.250 0.250 0.132
As1 As 0.250 0.250 0.668



2.
# Zn6In (PBE, relaxed)
# - E above lowest polymorph: 0.3586 eV per atom
# - VASP energy: -0.0784 Ry per atom
# - Magnetization: 0.00 Bohr magnetons per cell
# - Calculated formation energy: 416 meV per atom
data_Zn6In
_space_group_name_H-M_alt 'I m -3 m'
_space_group_IT_number 229
_space_group_name_Hall '-I 4 2 3'
_cell_length_a 7.005
_cell_length_b 7.005
_cell_length_c 7.005
_cell_angle_alpha 90.00
_cell_angle_beta 90.00
_cell_angle_gamma 90.00
loop_
_atom_site_label
_atom_site_type_symbol
_atom_site_fract_x
_atom_site_fract_y
_atom_site_fract_z
Zn1 Zn 0.000 0.250 0.500
In1 In 0.000 0.000 0.000



3.
# CaPtF6 (PBE, relaxed)
# - VASP energy: -0.3505 Ry per atom
# - Energy relative to the elements, uncorrected: -228 kJ/mol of atoms
# - Magnetization: 0.00 Bohr magnetons per cell
data_CaPtF6
_space_group_name_H-M_alt 'R -3'
_space_group_IT_number 148
_space_group_name_Hall '-R 3'
_cell_length_a 5.4322
_cell_length_b 5.4322
_cell_length_c 14.8265
_cell_angle_alpha 90.00
_cell_angle_beta 90.00
_cell_angle_gamma 120.00
loop_
_atom_site_label
_atom_site_type_symbol
_atom_site_fract_x
_atom_site_fract_y
_atom_site_fract_z
Ca1 Ca 0.0000 0.0000 0.0000
Pt1 Pt 0.0000 0.0000 0.5000
F1 F 0.0158 0.7141 0.5777



4.
# VZnIn2 (PBE, relaxed)
# - VASP energy: -0.2475 Ry per atom
# - Magnetization: 8.64 Bohr magnetons per cell
# - Calculated formation energy: 600 meV per atom
data_VZnIn2
_space_group_name_H-M_alt 'R -3 m'
_space_group_IT_number 166
_space_group_name_Hall '-R 3 2"'
_cell_length_a 3.1328
_cell_length_b 3.1328
_cell_length_c 31.0950
_cell_angle_alpha 90.00
_cell_angle_beta 90.00
_cell_angle_gamma 120.00
loop_
_atom_site_label
_atom_site_type_symbol
_atom_site_fract_x
_atom_site_fract_y
_atom_site_fract_z
V1 V 0.0000 0.0000 0.0000
Zn1 Zn 0.0000 0.0000 0.5000
In1 In 0.0000 0.0000 0.0905



- VASP energy of number 3 (CaPtF6)?
  -0.3505 Ry per atom